[1]
The following is a DFT calculation (PBE) of crystalline Ba2NaZnPd at its relaxed geometry.

Computed properties:
crystal system = tetragonal
excess energy over the best structure of this formula in the dataset = 0 meV/atom
calculated formation energy = -235 meV/atom
symmetry = P4/mmm

abc: 6.2057 6.2057 5.0650
angles: 90.00 90.00 90.00
Sites, in units of the cell vectors:
Zn 0.0000 0.0000 0.5000
Ba 0.5000 0.0000 0.0000
Ba 0.0000 0.5000 0.0000
Na 0.5000 0.5000 0.5000
Pd 0.0000 0.0000 0.0000

=====

[2]
The following is a DFT calculation (PBE) of crystalline CaTaZn2Cd at its relaxed geometry.

Computed properties:
crystal system = tetragonal
calculated formation energy = 987 meV/atom
symmetry = P4/mmm

abc: 5.1246 5.8032 5.1246
angles: 90.00 90.00 90.00
Sites, in units of the cell vectors:
Ta 0.0000 0.0000 0.0000
Cd 0.5000 0.5000 0.5000
Zn 0.5000 0.0000 0.0000
Zn 0.0000 0.0000 0.5000
Ca 0.0000 0.5000 0.0000

=====

[3]
The following is a DFT calculation (PBE) of crystalline YSbRh2 at its relaxed geometry.

Computed properties:
crystal system = tetragonal
uncorrected formation energy = -715 meV per atom
symmetry = I4/mmm

abc: 4.8798 4.8798 4.8798
angles: 125.67 125.67 80.44
Sites, in units of the cell vectors:
Rh 0.0000 0.0000 0.0000
Rh 0.5000 0.5000 0.0000
Y 0.7500 0.2500 0.5000
Sb 0.2500 0.7500 0.5000

=====

Total magnetic moment values (in μB per atom) by entry order: 0.00, 0.52, 0.00.